# 1
Below is a relaxed PaFeRe crystal, with properties calculated at the PBE level. Values from VASP.

## Properties
Energy above the most stable polymorph in this dataset ... 0 meV/atom
Uncorrected energy ... -9.711 eV/atom
Total magnetization ... 2.6 μB per formula unit
Space group ... F-43m (216)

Quantum ESPRESSO input file:
```
&SYSTEM
  ibrav = 0, nat = 3, ntyp = 3
/
ATOMIC_SPECIES
Fe 55.84 Fe.upf
Re 186.21 Re.upf
Pa 231.04 Pa.upf
ATOMIC_POSITIONS crystal
Fe 0.000 0.000 0.000
Re 0.250 0.250 0.250
Pa 0.750 0.750 0.750
CELL_PARAMETERS angstrom
0.000 3.042 3.042
3.042 0.000 3.042
3.042 3.042 0.000
```

***

# 2
Below is a relaxed RbNb4IO5 crystal, with properties calculated at the PBE level. Values from VASP.

## Properties
Uncorrected energy ... -7.952 eV/atom
Total magnetization ... 0.0 μB per formula unit
Space group ... P4/mmm (123)

Quantum ESPRESSO input file:
```
&SYSTEM
  ibrav = 0, nat = 11, ntyp = 4
/
ATOMIC_SPECIES
I 126.90 I.upf
Nb 92.91 Nb.upf
O 16.00 O.upf
Rb 85.47 Rb.upf
ATOMIC_POSITIONS crystal
I 0.000 0.000 0.500
Nb 0.000 0.500 0.000
Nb 0.000 0.000 0.797
O 0.000 0.500 0.786
O 0.000 0.500 0.214
Rb 0.500 0.500 0.500
O 0.500 0.000 0.786
O 0.500 0.000 0.214
Nb 0.000 0.000 0.203
Nb 0.500 0.000 0.000
O 0.500 0.500 0.000
CELL_PARAMETERS angstrom
-3.564 -1.190 -2.041
-1.814 -0.989 3.744
-3.446 9.071 0.728
```

***

# 3
Below is a relaxed PmZrAg crystal, with properties calculated at the PBE level. Values from VASP.

## Properties
Energy above the most stable polymorph in this dataset ... 222 meV/atom
Uncorrected energy ... -4.464 eV/atom
Total magnetization ... 0.0 μB per formula unit
Space group ... F-43m (216)

Quantum ESPRESSO input file:
```
&SYSTEM
  ibrav = 0, nat = 3, ntyp = 3
/
ATOMIC_SPECIES
Pm 145.00 Pm.upf
Ag 107.87 Ag.upf
Zr 91.22 Zr.upf
ATOMIC_POSITIONS crystal
Pm 0.000 0.000 0.000
Ag 0.250 0.250 0.250
Zr 0.750 0.750 0.750
CELL_PARAMETERS angstrom
-3.139 1.786 3.236
-1.021 4.741 0.027
-4.360 1.550 -1.451
```

***

# 4
Below is a relaxed Nd3Ni crystal, with properties calculated at the PBE level. Values from VASP.

## Properties
Uncorrected energy ... -4.715 eV/atom
Total magnetization ... 1.5 μB per formula unit
Space group ... Fm-3m (225)

Quantum ESPRESSO input file:
```
&SYSTEM
  ibrav = 0, nat = 4, ntyp = 2
/
ATOMIC_SPECIES
Nd 144.24 Nd.upf
Ni 58.69 Ni.upf
ATOMIC_POSITIONS crystal
Nd 0.500 0.500 0.500
Ni 0.750 0.750 0.750
Nd 0.000 0.000 0.000
Nd 0.250 0.250 0.250
CELL_PARAMETERS angstrom
1.461 -5.058 0.571
-0.048 -2.245 4.797
-3.620 -3.687 1.162
```

***

# 5
Below is a relaxed LuIn2Ir crystal, with properties calculated at the PBE level. Values from VASP.

## Properties
Uncorrected energy ... -4.980 eV/atom
Total magnetization ... 0.0 μB per formula unit
Space group ... F-43m (216)

Quantum ESPRESSO input file:
```
&SYSTEM
  ibrav = 0, nat = 4, ntyp = 3
/
ATOMIC_SPECIES
Ir 192.22 Ir.upf
In 114.82 In.upf
Lu 174.97 Lu.upf
ATOMIC_POSITIONS crystal
Ir 0.500 0.500 0.500
In 0.250 0.250 0.250
Lu 0.750 0.750 0.750
In 0.000 0.000 0.000
CELL_PARAMETERS angstrom
1.589 -4.268 -1.731
-2.257 -2.089 -3.778
2.198 -0.201 -4.343
```

***

# 6
Below is a relaxed Cd2Mo4CN crystal, with properties calculated at the PBE level. Values from VASP.

## Properties
Uncorrected energy ... -7.781 eV/atom
Total magnetization ... 0.0 μB per formula unit
Space group ... P-3m1 (164)

Quantum ESPRESSO input file:
```
&SYSTEM
  ibrav = 0, nat = 8, ntyp = 4
/
ATOMIC_SPECIES
Cd 112.41 Cd.upf
N 14.01 N.upf
C 12.01 C.upf
Mo 95.94 Mo.upf
ATOMIC_POSITIONS crystal
Cd 0.667 0.333 0.249
N 0.000 0.000 0.500
C 0.000 0.000 0.000
Mo 0.333 0.667 0.081
Cd 0.333 0.667 0.751
Mo 0.333 0.667 0.415
Mo 0.667 0.333 0.919
Mo 0.667 0.333 0.585
CELL_PARAMETERS angstrom
3.008 0.000 0.000
-1.504 2.605 0.000
0.000 0.000 14.733
```